# 1
An optimized crystal structure of Ba4TiNb9O18, computed with GGA-PBEsol.

Structure (POSCAR):
```
Ba4TiNb9O18
1.0
-2.294 -0.060 3.480
0.935 -4.025 0.546
19.654 6.338 13.065
Ti Ba O Nb
1 4 18 9
Direct
0.500 0.500 0.000
0.000 0.000 0.922
0.000 0.000 0.585
0.000 0.000 0.078
0.000 0.000 0.415
0.500 0.500 0.079
0.000 0.500 0.665
0.000 0.500 0.000
0.000 0.000 0.751
0.500 0.000 0.335
0.500 0.500 0.418
0.500 0.000 0.665
0.500 0.500 0.921
0.500 0.000 0.162
0.000 0.500 0.838
0.500 0.000 0.000
0.000 0.000 0.249
0.500 0.500 0.582
0.000 0.500 0.500
0.500 0.000 0.500
0.500 0.000 0.838
0.000 0.500 0.162
0.000 0.500 0.335
0.500 0.500 0.331
0.000 0.500 0.248
0.500 0.500 0.165
0.000 0.500 0.752
0.500 0.500 0.500
0.500 0.000 0.248
0.500 0.500 0.669
0.500 0.500 0.835
0.500 0.000 0.752
```

Results
total magnetization = 0.0 μB per cell
E_form (uncorrected) = -249 kJ/mol of atoms
space-group type = P4/mmm (123)
D(E_F) = 6.140 states/eV/cell


# 2
An optimized crystal structure of Ca2WO5, computed with GGA-PBEsol.

Structure (POSCAR):
```
Ca2WO5
1.0
-2.512 -1.168 4.581
-5.713 -2.265 -3.710
4.026 -9.716 -0.270
O Ca W
20 8 4
Direct
0.750 0.273 0.118
0.250 0.727 0.882
0.750 0.563 0.715
0.002 0.854 0.602
0.998 0.146 0.398
0.500 0.000 0.000
0.750 0.773 0.382
0.498 0.854 0.602
0.500 0.500 0.500
0.498 0.354 0.898
0.002 0.354 0.898
0.750 0.063 0.785
0.000 0.000 0.000
0.502 0.146 0.398
0.998 0.646 0.102
0.250 0.227 0.618
0.250 0.937 0.215
0.250 0.437 0.285
0.000 0.500 0.500
0.502 0.646 0.102
0.750 0.649 0.921
0.750 0.149 0.579
0.250 0.996 0.767
0.250 0.851 0.421
0.250 0.496 0.733
0.750 0.504 0.267
0.250 0.351 0.079
0.750 0.004 0.233
0.250 0.313 0.439
0.250 0.813 0.061
0.750 0.187 0.939
0.750 0.687 0.561
```

Results
total magnetization = 0.0 μB per cell
E_form (uncorrected) = -262 kJ/mol of atoms
space-group type = Pnma (62)
D(E_F) = 0.000 states/eV/cell
offset from the most stable computed form = 0.031 eV/atom